1.
{
  "formula": "YCdAu",
  "functional": "PBE",
  "state": "relaxed",
  "spacegroup": "P-62m, No. 189",
  "dos_at_fermi_per_ev_atom": 0.5031,
  "energy_ev_per_atom": -4.221,
  "delta_e_f_mev_per_atom": -669,
  "total_magnetization_mub_per_cell": 0.00,
  "cell": [[-2.158, 2.259, 2.332], [1.621, -4.703, 6.057], [4.666, 6.095, -1.587]],
  "species": ["Au", "Au", "Au", "Y", "Y", "Y", "Cd", "Cd", "Cd"],
  "fractional_positions": [[0.500, 0.667, 0.333], [0.000, 0.000, 0.000], [0.500, 0.333, 0.667], [0.000, 0.402, 0.000], [0.000, 0.000, 0.402], [0.000, 0.598, 0.598], [0.500, 0.000, 0.737], [0.500, 0.737, 0.000], [0.500, 0.263, 0.263]]
}

=====

2.
{
  "formula": "TmPa2Ni9",
  "functional": "PBE",
  "state": "relaxed",
  "spacegroup": "P6_3/mmc, No. 194",
  "polymorph_energy_mev_per_atom": 0,
  "dos_at_fermi_per_ev_atom": 1.1558,
  "energy_ev_per_atom": -6.718,
  "delta_e_f_mev_per_atom": -426,
  "total_magnetization_mub_per_cell": 0.00,
  "cell": [[4.894, 0.000, 0.000], [-2.447, 4.239, 0.000], [0.000, 0.000, 16.409]],
  "species": ["Ni", "Ni", "Ni", "Ni", "Ni", "Ni", "Ni", "Ni", "Ni", "Ni", "Ni", "Ni", "Ni", "Ni", "Ni", "Ni", "Ni", "Ni", "Pa", "Pa", "Pa", "Pa", "Tm", "Tm"],
  "fractional_positions": [[0.000, 0.000, 0.750], [0.666, 0.833, 0.374], [0.334, 0.167, 0.874], [0.000, 0.000, 0.000], [0.833, 0.167, 0.874], [0.833, 0.666, 0.874], [0.000, 0.000, 0.500], [0.833, 0.666, 0.626], [0.333, 0.667, 0.250], [0.167, 0.334, 0.374], [0.167, 0.833, 0.126], [0.167, 0.833, 0.374], [0.667, 0.333, 0.750], [0.666, 0.833, 0.126], [0.833, 0.167, 0.626], [0.334, 0.167, 0.626], [0.000, 0.000, 0.250], [0.167, 0.334, 0.126], [0.333, 0.667, 0.541], [0.667, 0.333, 0.041], [0.667, 0.333, 0.459], [0.333, 0.667, 0.959], [0.667, 0.333, 0.250], [0.333, 0.667, 0.750]]
}

=====

3.
{
  "formula": "EuZn2Co",
  "functional": "PBE",
  "state": "relaxed",
  "spacegroup": "R-3m, No. 166",
  "dos_at_fermi_per_ev_atom": 3.1370,
  "energy_ev_per_atom": -5.051,
  "delta_e_f_mev_per_atom": -69,
  "total_magnetization_mub_per_cell": 6.82,
  "cell": [[-3.696, 0.339, 1.939], [-2.970, -2.882, -0.637], [-0.361, -3.659, 4.472]],
  "species": ["Zn", "Zn", "Eu", "Co"],
  "fractional_positions": [[0.801, 0.801, 0.598], [0.199, 0.199, 0.402], [0.000, 0.000, 0.000], [0.500, 0.500, 0.500]]
}

=====

4.
{
  "formula": "MnAsW",
  "functional": "PBE",
  "state": "relaxed",
  "spacegroup": "P3m1, No. 156",
  "polymorph_energy_mev_per_atom": 364,
  "dos_at_fermi_per_ev_atom": 0.9987,
  "energy_ev_per_atom": -8.610,
  "delta_e_f_mev_per_atom": 314,
  "total_magnetization_mub_per_cell": 0.07,
  "cell": [[-0.681, -2.716, -0.460], [2.590, 0.946, -0.668], [2.000, -1.465, 5.684]],
  "species": ["As", "W", "Mn"],
  "fractional_positions": [[0.000, 0.000, 0.023], [0.667, 0.333, 0.649], [0.333, 0.667, 0.328]]
}

=====

5.
{
  "formula": "Pu2ScSn",
  "functional": "PBE",
  "state": "relaxed",
  "spacegroup": "P4/mmm, No. 123",
  "polymorph_energy_mev_per_atom": 0,
  "dos_at_fermi_per_ev_atom": 2.7140,
  "energy_ev_per_atom": -10.058,
  "delta_e_f_mev_per_atom": -308,
  "total_magnetization_mub_per_cell": 12.06,
  "cell": [[5.016, 0.000, 0.000], [0.000, 4.426, 0.000], [0.000, 0.000, 4.426]],
  "species": ["Pu", "Pu", "Sc", "Sn"],
  "fractional_positions": [[0.000, 0.000, 0.500], [0.000, 0.500, 0.000], [0.500, 0.000, 0.000], [0.500, 0.500, 0.500]]
}

=====

6.
{
  "formula": "Zr5ZnHg",
  "functional": "PBE",
  "state": "relaxed",
  "spacegroup": "Cmcm, No. 63",
  "dos_at_fermi_per_ev_atom": 1.1215,
  "energy_ev_per_atom": -6.343,
  "delta_e_f_mev_per_atom": -12,
  "total_magnetization_mub_per_cell": 0.00,
  "cell": [[-2.664, -7.333, -1.369], [6.751, 0.121, 4.142], [-2.773, 0.166, 4.513]],
  "species": ["Zr", "Zr", "Zr", "Zr", "Zr", "Zr", "Zr", "Zr", "Zr", "Zr", "Hg", "Hg", "Zn", "Zn"],
  "fractional_positions": [[0.604, 0.773, 0.250], [0.773, 0.604, 0.750], [0.989, 0.628, 0.250], [0.784, 0.216, 0.250], [0.628, 0.989, 0.750], [0.216, 0.784, 0.750], [0.227, 0.396, 0.250], [0.011, 0.372, 0.750], [0.396, 0.227, 0.750], [0.372, 0.011, 0.250], [0.000, 0.000, 0.500], [0.000, 0.000, 0.000], [0.581, 0.419, 0.250], [0.419, 0.581, 0.750]]
}

=====

7.
{
  "formula": "Mo13W3",
  "functional": "PBE",
  "state": "relaxed",
  "spacegroup": "Amm2, No. 38",
  "dos_at_fermi_per_ev_atom": 0.7027,
  "energy_ev_per_atom": -11.238,
  "delta_e_f_mev_per_atom": -9,
  "total_magnetization_mub_per_cell": 0.00,
  "cell": [[0.619, -3.618, 4.069], [4.413, -3.097, -0.982], [5.119, 5.883, 4.451]],
  "species": ["Mo", "Mo", "Mo", "Mo", "Mo", "Mo", "Mo", "Mo", "Mo", "Mo", "Mo", "Mo", "Mo", "W", "W", "W"],
  "fractional_positions": [[0.750, 0.751, 0.500], [0.000, 0.500, 0.250], [0.249, 0.249, 0.000], [0.000, 0.500, 0.750], [0.500, 0.000, 0.750], [0.500, 0.000, 0.250], [0.249, 0.250, 0.500], [0.500, 0.500, 0.750], [0.751, 0.751, 0.000], [0.750, 0.250, 0.500], [0.250, 0.750, 0.500], [0.250, 0.750, 0.000], [0.500, 0.500, 0.250], [0.000, 0.000, 0.250], [0.749, 0.251, 0.000], [0.000, 0.000, 0.750]]
}

=====

8.
{
  "formula": "CsAgC2O6",
  "functional": "PBE",
  "state": "relaxed",
  "e_form_raw_mev_per_atom": -1127,
  "spacegroup": "C2/c, No. 15",
  "energy_ev_per_atom": -6.317,
  "total_magnetization_mub_per_cell": 0.00,
  "cell": [[-3.177, -7.034, 0.212], [6.684, -2.286, 3.117], [-2.974, 3.209, 4.850]],
  "species": ["O", "O", "O", "O", "O", "O", "O", "O", "O", "O", "O", "O", "Cs", "Cs", "C", "C", "C", "C", "Ag", "Ag"],
  "fractional_positions": [[0.080, 0.262, 0.246], [0.514, 0.281, 0.910], [0.486, 0.719, 0.090], [0.262, 0.080, 0.746], [0.920, 0.738, 0.754], [0.719, 0.486, 0.590], [0.630, 0.753, 0.725], [0.738, 0.920, 0.254], [0.370, 0.247, 0.275], [0.753, 0.630, 0.225], [0.281, 0.514, 0.410], [0.247, 0.370, 0.775], [0.850, 0.150, 0.750], [0.150, 0.850, 0.250], [0.238, 0.341, 0.312], [0.762, 0.659, 0.688], [0.659, 0.762, 0.188], [0.341, 0.238, 0.812], [0.581, 0.419, 0.250], [0.419, 0.581, 0.750]]
}

=====

9.
{
  "formula": "ZnSiAu2",
  "functional": "PBE",
  "state": "relaxed",
  "e_form_raw_mev_per_atom": 39,
  "spacegroup": "P2/m, No. 10",
  "dos_at_fermi_per_ev_atom": 0.5127,
  "energy_ev_per_atom": -3.274,
  "total_magnetization_mub_per_cell": 0.00,
  "cell": [[-0.270, 3.742, 0.108], [-2.390, -0.214, 1.439], [3.430, 0.081, 5.728]],
  "species": ["Au", "Au", "Zn", "Si"],
  "fractional_positions": [[0.000, 0.249, 0.981], [0.000, 0.251, 0.519], [0.500, 0.750, 0.750], [0.500, 0.250, 0.250]]
}

=====

10.
{
  "formula": "Nd5Sm4Er",
  "functional": "PBE",
  "state": "relaxed",
  "spacegroup": "I4, No. 79",
  "polymorph_energy_mev_per_atom": 222,
  "dos_at_fermi_per_ev_atom": 1.4956,
  "energy_ev_per_atom": -4.491,
  "delta_e_f_mev_per_atom": 237,
  "total_magnetization_mub_per_cell": 0.00,
  "cell": [[6.214, 0.000, 0.000], [3.107, 7.489, 0.000], [3.107, 0.000, 7.489]],
  "species": ["Sm", "Sm", "Sm", "Sm", "Er", "Nd", "Nd", "Nd", "Nd", "Nd"],
  "fractional_positions": [[0.436, 0.675, 0.324], [0.111, 0.324, 0.325], [0.760, 0.676, 0.675], [0.435, 0.325, 0.676], [0.224, 0.000, 0.000], [0.776, 0.378, 0.999], [0.154, 0.999, 0.622], [0.775, 0.001, 0.378], [0.689, 0.000, 0.000], [0.153, 0.622, 0.001]]
}

=====

11.
{
  "formula": "Pr7Au3",
  "functional": "PBE",
  "state": "relaxed",
  "spacegroup": "P6_3mc, No. 186",
  "dos_at_fermi_per_ev_atom": 1.2089,
  "energy_ev_per_atom": -4.809,
  "delta_e_f_mev_per_atom": -480,
  "total_magnetization_mub_per_cell": 0.00,
  "cell": [[6.531, 0.000, 0.000], [0.000, 9.120, -5.265], [0.000, 0.000, 10.530]],
  "species": ["Pr", "Pr", "Pr", "Pr", "Pr", "Pr", "Pr", "Pr", "Pr", "Pr", "Pr", "Pr", "Pr", "Pr", "Au", "Au", "Au", "Au", "Au", "Au"],
  "fractional_positions": [[0.928, 0.256, 0.128], [0.612, 0.333, 0.667], [0.637, 0.927, 0.463], [0.428, 0.128, 0.872], [0.428, 0.744, 0.872], [0.637, 0.537, 0.073], [0.112, 0.667, 0.333], [0.428, 0.128, 0.256], [0.137, 0.463, 0.927], [0.928, 0.872, 0.744], [0.137, 0.073, 0.537], [0.137, 0.463, 0.537], [0.928, 0.872, 0.128], [0.637, 0.537, 0.463], [0.867, 0.190, 0.381], [0.867, 0.619, 0.810], [0.367, 0.810, 0.619], [0.367, 0.810, 0.190], [0.367, 0.381, 0.190], [0.867, 0.190, 0.810]]
}

=====

12.
{
  "formula": "Tm5Mg2Tl5",
  "functional": "PBE",
  "state": "relaxed",
  "spacegroup": "C2/m, No. 12",
  "dos_at_fermi_per_ev_atom": 0.6858,
  "energy_ev_per_atom": -3.275,
  "delta_e_f_mev_per_atom": -160,
  "total_magnetization_mub_per_cell": 0.00,
  "cell": [[-4.548, -1.789, 0.897], [3.104, -3.273, -4.555], [3.456, -3.347, 10.850]],
  "species": ["Mg", "Mg", "Tl", "Tl", "Tl", "Tl", "Tl", "Tm", "Tm", "Tm", "Tm", "Tm"],
  "fractional_positions": [[0.080, 0.160, 0.764], [0.920, 0.840, 0.236], [0.282, 0.564, 0.231], [0.152, 0.305, 0.459], [0.718, 0.436, 0.769], [0.848, 0.695, 0.541], [0.000, 0.000, 0.000], [0.360, 0.719, 0.727], [0.500, 0.000, 0.500], [0.353, 0.707, 0.009], [0.640, 0.281, 0.273], [0.647, 0.293, 0.991]]
}

=====

13.
{
  "formula": "KBaSn3",
  "functional": "PBE",
  "state": "relaxed",
  "spacegroup": "Cmcm, No. 63",
  "polymorph_energy_mev_per_atom": 0,
  "dos_at_fermi_per_ev_atom": 0.6631,
  "energy_ev_per_atom": -3.401,
  "delta_e_f_mev_per_atom": -395,
  "total_magnetization_mub_per_cell": 0.00,
  "cell": [[4.745, 0.000, 0.000], [0.000, 5.135, 0.000], [0.000, -2.568, 15.627]],
  "species": ["K", "K", "Sn", "Sn", "Sn", "Sn", "Sn", "Sn", "Ba", "Ba"],
  "fractional_positions": [[0.250, 0.793, 0.587], [0.750, 0.207, 0.413], [0.750, 0.526, 0.053], [0.250, 0.474, 0.947], [0.250, 0.673, 0.346], [0.250, 0.379, 0.758], [0.750, 0.327, 0.654], [0.750, 0.621, 0.242], [0.750, 0.928, 0.856], [0.250, 0.072, 0.144]]
}

=====

14.
{
  "formula": "ThCo2Ge2",
  "functional": "PBE",
  "state": "relaxed",
  "spacegroup": "Fddd, No. 70",
  "dos_at_fermi_per_ev_atom": 0.8621,
  "energy_ev_per_atom": -6.734,
  "delta_e_f_mev_per_atom": -561,
  "total_magnetization_mub_per_cell": 2.17,
  "cell": [[5.738, -0.265, 0.000], [-2.895, 4.961, 0.000], [-1.422, -2.348, 6.237]],
  "species": ["Co", "Co", "Co", "Co", "Ge", "Ge", "Ge", "Ge", "Th", "Th"],
  "fractional_positions": [[0.143, 0.643, 0.286], [0.357, 0.857, 0.714], [0.107, 0.107, 0.214], [0.893, 0.893, 0.786], [0.809, 0.191, 0.000], [0.191, 0.809, 0.000], [0.441, 0.559, 0.500], [0.059, 0.941, 0.500], [0.500, 0.500, 0.000], [0.750, 0.250, 0.500]]
}

=====

15.
{
  "formula": "YHfAu3",
  "functional": "PBE",
  "state": "relaxed",
  "spacegroup": "Pm-3m, No. 221",
  "polymorph_energy_mev_per_atom": 0,
  "dos_at_fermi_per_ev_atom": 0.6861,
  "energy_ev_per_atom": -5.159,
  "delta_e_f_mev_per_atom": 91,
  "total_magnetization_mub_per_cell": 0.00,
  "cell": [[5.128, 0.000, 0.000], [0.000, 5.128, 0.000], [0.000, 0.000, 5.128]],
  "species": ["Hf", "Y", "Au", "Au", "Au"],
  "fractional_positions": [[0.000, 0.000, 0.000], [0.500, 0.500, 0.500], [0.000, 0.500, 0.000], [0.000, 0.000, 0.500], [0.500, 0.000, 0.000]]
}

=====

16.
{
  "formula": "TcTeRu2",
  "functional": "PBE",
  "state": "relaxed",
  "e_form_raw_mev_per_atom": 430,
  "spacegroup": "Pmm2, No. 25",
  "dos_at_fermi_per_ev_atom": 1.3984,
  "energy_ev_per_atom": -7.584,
  "total_magnetization_mub_per_cell": 0.00,
  "cell": [[2.958, 0.000, 0.000], [0.000, 3.780, 0.000], [0.000, 0.000, 5.768]],
  "species": ["Te", "Ru", "Ru", "Tc"],
  "fractional_positions": [[0.500, 0.500, 0.768], [0.000, 0.000, 0.004], [0.500, 0.500, 0.266], [0.000, 0.000, 0.463]]
}

=====

17.
{
  "formula": "Ba3P4Pd",
  "functional": "PBE",
  "state": "relaxed",
  "spacegroup": "C2/m, No. 12",
  "polymorph_energy_mev_per_atom": 124,
  "dos_at_fermi_per_ev_atom": 0.7662,
  "energy_ev_per_atom": -4.830,
  "delta_e_f_mev_per_atom": -755,
  "total_magnetization_mub_per_cell": 0.00,
  "cell": [[-1.852, -1.927, 3.574], [-0.824, -4.010, -2.589], [10.711, -4.221, 0.488]],
  "species": ["P", "P", "P", "P", "Ba", "Ba", "Ba", "Pd"],
  "fractional_positions": [[0.408, 0.279, 0.815], [0.592, 0.721, 0.185], [0.683, 0.792, 0.367], [0.317, 0.208, 0.633], [0.177, 0.294, 0.354], [0.823, 0.706, 0.646], [0.000, 0.500, 0.000], [0.500, 0.000, 0.000]]
}

=====

18.
{
  "formula": "HoTm7Al5",
  "functional": "PBE",
  "state": "relaxed",
  "spacegroup": "Imm2, No. 44",
  "dos_at_fermi_per_ev_atom": 0.8326,
  "energy_ev_per_atom": -4.425,
  "delta_e_f_mev_per_atom": -225,
  "total_magnetization_mub_per_cell": 0.00,
  "cell": [[-0.042, 2.736, 5.366], [2.581, -4.727, 5.811], [6.928, 3.461, 1.671]],
  "species": ["Al", "Al", "Al", "Al", "Al", "Tm", "Tm", "Tm", "Tm", "Tm", "Tm", "Tm", "Ho"],
  "fractional_positions": [[0.997, 0.997, 0.516], [0.737, 0.763, 0.763], [0.997, 0.516, 0.997], [0.490, 0.516, 0.997], [0.490, 0.997, 0.516], [0.271, 0.229, 0.229], [0.667, 0.333, 0.333], [0.342, 0.658, 0.658], [0.505, 0.188, 0.801], [0.991, 0.347, 0.671], [0.991, 0.671, 0.347], [0.505, 0.801, 0.188], [0.014, 0.986, 0.986]]
}

=====

19.
{
  "formula": "K2In2H7",
  "functional": "PBE",
  "state": "relaxed",
  "spacegroup": "C2/m, No. 12",
  "dos_at_fermi_per_ev_atom": 0.1829,
  "energy_ev_per_atom": -2.792,
  "total_magnetization_mub_per_cell": 0.00,
  "cell": [[-4.515, 0.054, -2.284], [-0.886, -5.615, 2.545], [-2.016, 3.140, 4.986]],
  "species": ["In", "In", "H", "H", "H", "H", "H", "H", "H", "K", "K"],
  "fractional_positions": [[0.524, 0.758, 0.758], [0.476, 0.242, 0.242], [0.267, 0.419, 0.103], [0.266, 0.596, 0.596], [0.733, 0.581, 0.897], [0.500, 0.000, 0.000], [0.267, 0.103, 0.419], [0.733, 0.897, 0.581], [0.734, 0.404, 0.404], [0.000, 0.743, 0.257], [0.000, 0.257, 0.743]]
}

=====

20.
{
  "formula": "Ac4As2P",
  "functional": "PBE",
  "state": "relaxed",
  "spacegroup": "I4/mmm, No. 139",
  "polymorph_energy_mev_per_atom": 394,
  "dos_at_fermi_per_ev_atom": 0.8977,
  "energy_ev_per_atom": -5.218,
  "delta_e_f_mev_per_atom": -769,
  "total_magnetization_mub_per_cell": 0.00,
  "cell": [[-2.279, 5.201, -0.343], [-1.389, -0.967, -5.431], [-5.290, -5.084, 5.237]],
  "species": ["Ac", "Ac", "Ac", "Ac", "As", "As", "P"],
  "fractional_positions": [[0.188, 0.188, 0.375], [0.812, 0.812, 0.625], [0.000, 0.500, 0.000], [0.500, 0.000, 0.000], [0.375, 0.375, 0.751], [0.625, 0.625, 0.249], [0.000, 0.000, 0.000]]
}